Record 1
BeIn2Ag, optimized geometry, DFT PBE; SG = Cmmm (65)
1.0
-1.778 2.665 -5.975
-1.115 -4.867 1.206
-3.013 0.576 -0.450
In Ag Be
2 1 1
Direct
0.000 0.000 0.000
0.500 0.000 0.500
0.000 0.500 0.500
0.500 0.500 0.000

Record 2
Be3InAg, optimized geometry, DFT PBE; ΔE to the lowest computed polymorph = 0.396 eV/atom; SG = Pm-3m (221)
1.0
4.522 0.000 0.000
0.000 4.522 0.000
0.000 0.000 4.522
Be In Ag
3 1 1
Direct
0.000 0.500 0.000
0.500 0.000 0.000
0.000 0.000 0.500
0.000 0.000 0.000
0.500 0.500 0.500

Record 3
BeIn2Ag, optimized geometry, DFT PBE; SG = Cm (8)
1.0
4.601 0.013 0.015
3.547 2.930 0.015
2.007 0.725 6.157
Be In Ag
1 2 1
Direct
0.257 0.257 0.390
0.764 0.764 0.709
0.922 0.922 0.049
0.556 0.556 0.352

Record 4
Be2InAg, optimized geometry, DFT PBE; SG = Imm2 (44)
1.0
5.434 -0.032 0.006
2.995 4.534 -0.006
-3.770 -3.082 2.411
Be Ag In
2 1 1
Direct
0.792 0.292 0.500
0.981 0.981 0.000
0.221 0.721 0.500
0.506 0.506 0.000

Record 5
BeIn2Ag, optimized geometry, DFT PBE; SG = Pm (6)
1.0
4.086 0.000 0.000
0.000 3.833 0.031
0.000 1.994 5.034
Be Ag In
1 1 2
Direct
0.500 0.551 0.775
0.000 0.690 0.496
0.500 0.287 0.307
0.000 0.971 0.922

Record 6
BeIn2Ag, optimized geometry, DFT PBE; SG = C2/m (12)
1.0
-2.397 1.932 -3.651
-2.024 -1.014 -4.205
-5.871 -0.971 1.206
In Ag Be
2 1 1
Direct
0.984 0.984 0.018
0.516 0.516 0.482
0.750 0.750 0.750
0.250 0.250 0.250

no.,energy relative to the elements (eV/atom)
1,0.3660
2,1.1792
3,0.2367
4,0.4179
5,0.2186
6,0.3220